[1]
Entry from the Alexandria database: a crystal of CrCo3Pb relaxed with PBEsol (SCAN).

Values from the calculation:
VASP energy: -27.50 eV per atom
Total magnetization: 9.457 μB/f.u.
Volume: 20.46 Å³/atom
Energy relative to the elements: 1718 meV/atom

Lattice parameters (Å, degrees): 4.677 4.677 4.677 90.00 90.00 90.00
Fractional positions:
Cr 0.000 0.000 0.000
Co 0.000 0.500 0.500
Co 0.500 0.000 0.500
Co 0.500 0.500 0.000
Pb 0.500 0.500 0.500

***

[2]
Entry from the Alexandria database: a crystal of LaSc2Si relaxed with PBEsol (SCAN).

Values from the calculation:
VASP energy: -20.42 eV per atom
Total magnetization: 1.475 μB/f.u.
Volume: 24.63 Å³/atom
Uncorrected formation energy: -0.02 eV per atom

Lattice parameters (Å, degrees): 9.923 9.923 9.923 19.85 19.85 19.85
Fractional positions:
La 0.000 0.000 0.000
Sc 0.230 0.230 0.230
Sc 0.474 0.474 0.474
Si 0.743 0.743 0.743

***

[3]
Entry from the Alexandria database: a crystal of Li3VO3F2 relaxed with PBEsol (SCAN).

Values from the calculation:
VASP energy: -8.33 eV per atom
Total magnetization: 0.000 μB/f.u.
Volume: 9.33 Å³/atom
Uncorrected formation energy: -2.72 eV per atom
Energy above the lowest structure with this stoichiometry: 0.9 kJ/mol of atoms

Lattice parameters (Å, degrees): 4.936 5.063 7.559 101.10 108.60 102.19
Fractional positions:
Li 0.000 0.000 0.000
Li 0.051 0.496 0.505
Li 0.255 0.650 0.208
Li 0.356 0.197 0.383
Li 0.652 0.801 0.595
Li 0.883 0.422 0.804
V 0.273 0.045 0.709
V 0.643 0.347 0.129
O 0.051 0.777 0.748
O 0.267 0.880 0.485
O 0.294 0.332 0.944
O 0.627 0.545 0.327
O 0.634 0.076 0.852
O 0.982 0.277 0.225
F 0.418 0.005 0.163
F 0.450 0.429 0.632
F 0.858 0.639 0.047
F 0.906 0.171 0.585

***

[4]
Entry from the Alexandria database: a crystal of TcRu2Pt relaxed with PBEsol (SCAN).

Values from the calculation:
VASP energy: -43.78 eV per atom
Total magnetization: 0.000 μB/f.u.
Volume: 13.80 Å³/atom
Energy relative to the elements: -52 meV/atom
Energy above the lowest structure with this stoichiometry: 0.0 kJ/mol of atoms

Lattice parameters (Å, degrees): 4.627 4.627 4.627 131.00 131.00 71.81
Fractional positions:
Tc 0.000 0.000 0.000
Ru 0.250 0.750 0.500
Ru 0.750 0.250 0.500
Pt 0.500 0.500 0.000

***

[5]
Entry from the Alexandria database: a crystal of ZrOsSe2 relaxed with PBEsol (SCAN).

Values from the calculation:
VASP energy: -35.50 eV per atom
Total magnetization: 0.000 μB/f.u.
Volume: 17.25 Å³/atom
Uncorrected formation energy: 0.19 eV per atom

Lattice parameters (Å, degrees): 8.261 8.261 8.261 21.94 21.94 21.94
Fractional positions:
Zr 0.000 0.000 0.000
Os 0.500 0.500 0.500
Se 0.244 0.244 0.244
Se 0.756 0.756 0.756

***

[6]
Entry from the Alexandria database: a crystal of Pr2Al2Fe15 relaxed with PBEsol (SCAN).

Values from the calculation:
VASP energy: -19.67 eV per atom
Total magnetization: 34.429 μB/f.u.
Volume: 12.93 Å³/atom
Energy relative to the elements: 24 meV/atom

Lattice parameters (Å, degrees): 6.316 6.316 6.316 82.24 82.24 82.24
Fractional positions:
Pr 0.153 0.153 0.153
Pr 0.847 0.847 0.847
Al 0.398 0.398 0.398
Al 0.602 0.602 0.602
Fe 0.000 0.500 0.500
Fe 0.162 0.162 0.658
Fe 0.162 0.658 0.162
Fe 0.214 0.500 0.786
Fe 0.214 0.786 0.500
Fe 0.342 0.838 0.838
Fe 0.500 0.000 0.500
Fe 0.500 0.214 0.786
Fe 0.500 0.500 0.000
Fe 0.500 0.786 0.214
Fe 0.658 0.162 0.162
Fe 0.786 0.214 0.500
Fe 0.786 0.500 0.214
Fe 0.838 0.342 0.838
Fe 0.838 0.838 0.342

***

[7]
Entry from the Alexandria database: a crystal of Li2HgP relaxed with PBEsol (SCAN).

Values from the calculation:
VASP energy: -21.23 eV per atom
Total magnetization: 0.000 μB/f.u.
Volume: 15.89 Å³/atom
Energy relative to the elements: -394 meV/atom

Lattice parameters (Å, degrees): 2.943 2.943 7.338 90.00 90.00 90.00
Fractional positions:
Li 0.000 0.000 0.207
Li 0.000 0.000 0.793
Hg 0.500 0.500 0.500
P 0.500 0.500 0.000

***

[8]
Entry from the Alexandria database: a crystal of LaNi5H6 relaxed with PBEsol (SCAN).

Values from the calculation:
VASP energy: -12.30 eV per atom
Total magnetization: 0.000 μB/f.u.
Volume: 8.37 Å³/atom
Energy above the lowest structure with this stoichiometry: 0.0 kJ/mol of atoms

Lattice parameters (Å, degrees): 5.286 5.286 4.150 90.00 90.00 120.00
Fractional positions:
La 0.000 0.000 0.000
Ni 0.022 0.511 0.385
Ni 0.333 0.667 0.868
Ni 0.489 0.511 0.385
Ni 0.489 0.978 0.385
Ni 0.667 0.333 0.840
H 0.370 0.185 0.541
H 0.503 0.005 0.997
H 0.503 0.497 0.997
H 0.815 0.185 0.541
H 0.815 0.630 0.541
H 0.995 0.497 0.997

***

[9]
Entry from the Alexandria database: a crystal of ZnReMo2 relaxed with PBEsol (SCAN).

Values from the calculation:
VASP energy: -38.41 eV per atom
Total magnetization: 0.000 μB/f.u.
Volume: 14.59 Å³/atom
Energy relative to the elements: 189 meV/atom

Lattice parameters (Å, degrees): 4.797 4.797 4.797 132.79 132.79 68.99
Fractional positions:
Zn 0.000 0.000 0.000
Re 0.500 0.500 0.000
Mo 0.250 0.750 0.500
Mo 0.750 0.250 0.500

***

[10]
Entry from the Alexandria database: a crystal of RbTlCrSe2 relaxed with PBEsol (SCAN).

Values from the calculation:
VASP energy: -29.57 eV per atom
Total magnetization: 3.994 μB/f.u.
Volume: 36.54 Å³/atom
Uncorrected formation energy: 0.76 eV per atom

Lattice parameters (Å, degrees): 5.897 5.897 5.255 90.00 90.00 90.00
Fractional positions:
Rb 0.000 0.000 0.000
Tl 0.500 0.500 0.500
Cr 0.000 0.000 0.500
Se 0.000 0.500 0.000
Se 0.500 0.000 0.000

***

[11]
Entry from the Alexandria database: a crystal of Pr2InGe2 relaxed with PBEsol (SCAN).

Values from the calculation:
VASP energy: -32.48 eV per atom
Total magnetization: 0.000 μB/f.u.
Volume: 24.27 Å³/atom
Energy relative to the elements: -842 meV/atom

Lattice parameters (Å, degrees): 7.467 7.467 4.353 90.00 90.00 90.00
Fractional positions:
Pr 0.180 0.320 0.000
Pr 0.320 0.820 0.000
Pr 0.680 0.180 0.000
Pr 0.820 0.680 0.000
In 0.000 0.000 0.500
In 0.500 0.500 0.500
Ge 0.119 0.619 0.500
Ge 0.381 0.119 0.500
Ge 0.619 0.881 0.500
Ge 0.881 0.381 0.500

***

[12]
Entry from the Alexandria database: a crystal of SiTcPb relaxed with PBEsol (SCAN).

Values from the calculation:
VASP energy: -40.06 eV per atom
Total magnetization: 0.000 μB/f.u.
Volume: 17.56 Å³/atom
Uncorrected formation energy: 0.22 eV per atom

Lattice parameters (Å, degrees): 5.496 5.496 5.496 145.62 145.62 49.40
Fractional positions:
Si 0.000 0.000 0.000
Tc 0.409 0.409 0.000
Pb 0.707 0.707 0.000

***

What did the fifth record say?
Entry from the Alexandria database: a crystal of ZrOsSe2 relaxed with PBEsol (SCAN).

Values from the calculation:
VASP energy: -35.50 eV per atom
Total magnetization: 0.000 μB/f.u.
Volume: 17.25 Å³/atom
Uncorrected formation energy: 0.19 eV per atom

Lattice parameters (Å, degrees): 8.261 8.261 8.261 21.94 21.94 21.94
Fractional positions:
Zr 0.000 0.000 0.000
Os 0.500 0.500 0.500
Se 0.244 0.244 0.244
Se 0.756 0.756 0.756

***

> volume of number 10 (RbTlCrSe2)?

36.54 Å³/atom